--- P ---
# AcCe, optimized geometry, DFT PBE
# Crystal system ... cubic
# Symmetry ... No. 225
data_AcCe
_space_group_name_H-M_alt 'P 1'
_space_group_IT_number 1
_cell_length_a 6.742
_cell_length_b 6.742
_cell_length_c 6.742
_cell_angle_alpha 90.00
_cell_angle_beta 90.00
_cell_angle_gamma 90.00
loop_
_space_group_symop_operation_xyz
'x,y,z'
loop_
_atom_site_label
_atom_site_fract_x
_atom_site_fract_y
_atom_site_fract_z
_atom_site_occupancy
Ac1 0.000 0.000 0.000 1
Ac2 0.000 0.500 0.500 1
Ac3 0.500 0.000 0.500 1
Ac4 0.500 0.500 0.000 1
Ce1 0.000 0.000 0.500 1
Ce2 0.000 0.500 0.000 1
Ce3 0.500 0.000 0.000 1
Ce4 0.500 0.500 0.500 1


--- Q ---
# AcCe, optimized geometry, DFT PBE
# Crystal system ... orthorhombic
# Symmetry ... No. 59
data_AcCe
_space_group_name_H-M_alt 'P 1'
_space_group_IT_number 1
_cell_length_a 3.738
_cell_length_b 5.059
_cell_length_c 7.698
_cell_angle_alpha 90.00
_cell_angle_beta 90.00
_cell_angle_gamma 90.00
loop_
_space_group_symop_operation_xyz
'x,y,z'
loop_
_atom_site_label
_atom_site_fract_x
_atom_site_fract_y
_atom_site_fract_z
_atom_site_occupancy
Ac1 0.250 0.250 0.144 1
Ac2 0.750 0.750 0.856 1
Ce1 0.250 0.250 0.604 1
Ce2 0.750 0.750 0.396 1


--- R ---
# AcCe, optimized geometry, DFT PBE
# Crystal system ... cubic
# Symmetry ... No. 221
data_AcCe
_space_group_name_H-M_alt 'P 1'
_space_group_IT_number 1
_cell_length_a 4.237
_cell_length_b 4.237
_cell_length_c 4.237
_cell_angle_alpha 90.00
_cell_angle_beta 90.00
_cell_angle_gamma 90.00
loop_
_space_group_symop_operation_xyz
'x,y,z'
loop_
_atom_site_label
_atom_site_fract_x
_atom_site_fract_y
_atom_site_fract_z
_atom_site_occupancy
Ac1 0.000 0.000 0.000 1
Ce1 0.500 0.500 0.500 1


Stability ranking, top entry: Q; the second entry is 0.139 eV/atom less favorable.


--- P ---
# AcCeGeCl, optimized geometry, DFT PBE
# Crystal system ... cubic
# Symmetry ... No. 216
data_AcCeGeCl
_space_group_name_H-M_alt 'P 1'
_space_group_IT_number 1
_cell_length_a 7.500
_cell_length_b 7.500
_cell_length_c 7.500
_cell_angle_alpha 90.00
_cell_angle_beta 90.00
_cell_angle_gamma 90.00
loop_
_space_group_symop_operation_xyz
'x,y,z'
loop_
_atom_site_label
_atom_site_fract_x
_atom_site_fract_y
_atom_site_fract_z
_atom_site_occupancy
Ac1 0.000 0.000 0.000 1
Ac2 0.000 0.500 0.500 1
Ac3 0.500 0.000 0.500 1
Ac4 0.500 0.500 0.000 1
Ce1 0.000 0.000 0.500 1
Ce2 0.000 0.500 0.000 1
Ce3 0.500 0.000 0.000 1
Ce4 0.500 0.500 0.500 1
Ge1 0.250 0.250 0.250 1
Ge2 0.250 0.750 0.750 1
Ge3 0.750 0.250 0.750 1
Ge4 0.750 0.750 0.250 1
Cl1 0.250 0.250 0.750 1
Cl2 0.250 0.750 0.250 1
Cl3 0.750 0.250 0.250 1
Cl4 0.750 0.750 0.750 1


--- Q ---
# AcCeGeCl, optimized geometry, DFT PBE
# Crystal system ... orthorhombic
# Symmetry ... No. 38
data_AcCeGeCl
_space_group_name_H-M_alt 'P 1'
_space_group_IT_number 1
_cell_length_a 6.158
_cell_length_b 4.680
_cell_length_c 9.604
_cell_angle_alpha 90.00
_cell_angle_beta 90.00
_cell_angle_gamma 90.00
loop_
_space_group_symop_operation_xyz
'x,y,z'
loop_
_atom_site_label
_atom_site_fract_x
_atom_site_fract_y
_atom_site_fract_z
_atom_site_occupancy
Ac1 0.000 0.000 0.000 1
Ac2 0.000 0.500 0.500 1
Ce1 0.500 0.000 0.694 1
Ce2 0.500 0.500 0.194 1
Ge1 0.500 0.000 0.005 1
Ge2 0.500 0.500 0.505 1
Cl1 0.000 0.000 0.696 1
Cl2 0.000 0.500 0.196 1


Stability ranking, top entry: P; the second entry is 0.134 eV/atom less favorable.


--- P ---
# Ac2CeCu, optimized geometry, DFT PBE
# Crystal system ... trigonal
# Symmetry ... No. 166
data_Ac2CeCu
_space_group_name_H-M_alt 'P 1'
_space_group_IT_number 1
_cell_length_a 3.784
_cell_length_b 3.784
_cell_length_c 34.122
_cell_angle_alpha 90.00
_cell_angle_beta 90.00
_cell_angle_gamma 120.00
loop_
_space_group_symop_operation_xyz
'x,y,z'
loop_
_atom_site_label
_atom_site_fract_x
_atom_site_fract_y
_atom_site_fract_z
_atom_site_occupancy
Ac1 0.000 0.000 0.103 1
Ac2 0.000 0.000 0.897 1
Ac3 0.333 0.667 0.563 1
Ac4 0.333 0.667 0.770 1
Ac5 0.667 0.333 0.230 1
Ac6 0.667 0.333 0.437 1
Ce1 0.000 0.000 0.000 1
Ce2 0.333 0.667 0.667 1
Ce3 0.667 0.333 0.333 1
Cu1 0.000 0.000 0.500 1
Cu2 0.333 0.667 0.167 1
Cu3 0.667 0.333 0.833 1


--- Q ---
# Ac2CeCu, optimized geometry, DFT PBE
# Crystal system ... tetragonal
# Symmetry ... No. 123
data_Ac2CeCu
_space_group_name_H-M_alt 'P 1'
_space_group_IT_number 1
_cell_length_a 3.794
_cell_length_b 3.794
_cell_length_c 9.084
_cell_angle_alpha 90.00
_cell_angle_beta 90.00
_cell_angle_gamma 90.00
loop_
_space_group_symop_operation_xyz
'x,y,z'
loop_
_atom_site_label
_atom_site_fract_x
_atom_site_fract_y
_atom_site_fract_z
_atom_site_occupancy
Ac1 0.000 0.000 0.207 1
Ac2 0.000 0.000 0.793 1
Ce1 0.500 0.500 0.500 1
Cu1 0.500 0.500 0.000 1


Stability ranking, top entry: Q; the second entry is 0.295 eV/atom less favorable.


--- P ---
# AcCeCu, optimized geometry, DFT PBE
# Crystal system ... tetragonal
# Symmetry ... No. 107
data_AcCeCu
_space_group_name_H-M_alt 'P 1'
_space_group_IT_number 1
_cell_length_a 3.719
_cell_length_b 3.719
_cell_length_c 12.574
_cell_angle_alpha 90.00
_cell_angle_beta 90.00
_cell_angle_gamma 90.00
loop_
_space_group_symop_operation_xyz
'x,y,z'
loop_
_atom_site_label
_atom_site_fract_x
_atom_site_fract_y
_atom_site_fract_z
_atom_site_occupancy
Ac1 0.000 0.000 0.000 1
Ac2 0.500 0.500 0.500 1
Ce1 0.000 0.000 0.279 1
Ce2 0.500 0.500 0.779 1
Cu1 0.000 0.000 0.662 1
Cu2 0.500 0.500 0.162 1


--- Q ---
# AcCeCu, optimized geometry, DFT PBE
# Crystal system ... monoclinic
# Symmetry ... No. 12
data_AcCeCu
_space_group_name_H-M_alt 'P 1'
_space_group_IT_number 1
_cell_length_a 12.981
_cell_length_b 3.853
_cell_length_c 8.732
_cell_angle_alpha 90.00
_cell_angle_beta 125.53
_cell_angle_gamma 90.00
loop_
_space_group_symop_operation_xyz
'x,y,z'
loop_
_atom_site_label
_atom_site_fract_x
_atom_site_fract_y
_atom_site_fract_z
_atom_site_occupancy
Ac1 0.162 0.000 0.079 1
Ac2 0.338 0.500 0.921 1
Ac3 0.662 0.500 0.079 1
Ac4 0.838 0.000 0.921 1
Ce1 0.094 0.500 0.389 1
Ce2 0.406 0.000 0.611 1
Ce3 0.594 0.000 0.389 1
Ce4 0.906 0.500 0.611 1
Cu1 0.109 0.000 0.659 1
Cu2 0.391 0.500 0.341 1
Cu3 0.609 0.500 0.659 1
Cu4 0.891 0.000 0.341 1


Stability ranking, top entry: Q; the second entry is 0.005 eV/atom less favorable.